No. 1
Compound: Ca2AuF
Source: Alexandria via LeMat-Bulk
Functional: PBE
Structure: optimized geometry

Unit cell a=6.8667 b=6.8667 c=8.0061 alpha=90.00 beta=90.00 gamma=90.00
Space group I-42d (No. 122)
Unique sites:
Ca (0.1804, 0.2500, 0.1250) [8 per cell]
Au (0.0000, 0.0000, 0.5000) [4 per cell]
F (0.0000, 0.0000, 0.0000) [4 per cell]

Values from the calculation:
The total magnetization comes out at 0.0 μB/cell. Its uncorrected formation energy is -1705.5 meV per atom. For the density of states at the Fermi level, the calculation gives 0.426 states/eV/f.u. The energy is -16.0 eV per formula unit. The energy above the most stable polymorph in this dataset comes out at 0.006 eV/atom.

***

No. 2
Compound: CaY3Pd4
Source: Alexandria via LeMat-Bulk
Functional: PBE
Structure: optimized geometry

Unit cell a=5.0135 b=5.0135 c=6.9402 alpha=90.00 beta=90.00 gamma=90.00
Space group P4/mmm (No. 123)
Unique sites:
Ca (0.0000, 0.0000, 0.0000) [1 per cell]
Y (0.0000, 0.0000, 0.5000) [1 per cell]
Y (0.5000, 0.5000, 0.0000) [1 per cell]
Y (0.5000, 0.5000, 0.5000) [1 per cell]
Pd (0.0000, 0.5000, 0.2590) [4 per cell]

Values from the calculation:
The total magnetization comes out at 0.0 μB/cell. For the density of states at the Fermi level, the calculation gives 4.473 states/eV/f.u. The energy is -48.8 eV per formula unit. The calculation puts the formation enthalpy at 0 K at -0.835 eV/atom.

***

No. 3
Compound: ScSb2F
Source: Alexandria via LeMat-Bulk
Functional: PBE
Structure: optimized geometry

Unit cell a=4.2074 b=4.2074 c=21.0536 alpha=90.00 beta=90.00 gamma=90.00
Space group I-42d (No. 122)
Unique sites:
Sc (0.0000, 0.0000, 0.0000) [4 per cell]
Sb (0.2393, 0.2500, 0.1250) [8 per cell]
F (0.0000, 0.0000, 0.5000) [4 per cell]

Values from the calculation:
The total magnetization comes out at 0.0 μB/cell. Its uncorrected formation energy is -841.4 meV per atom. For the density of states at the Fermi level, the calculation gives 0.043 states/eV/f.u. The energy is -19.8 eV per formula unit. The energy above the most stable polymorph in this dataset comes out at 0.000 eV/atom.

***

No. 4
Compound: TcHg2Rh
Source: Alexandria via LeMat-Bulk
Functional: PBE
Structure: optimized geometry

Unit cell a=2.8701 b=4.7836 c=5.1740 alpha=90.00 beta=92.53 gamma=90.00
Space group P2/m (No. 10)
Unique sites:
Tc (0.0000, 0.0000, 0.0000) [1 per cell]
Hg (0.2676, 0.5000, 0.7486) [2 per cell]
Rh (0.5000, 0.0000, 0.5000) [1 per cell]

Values from the calculation:
The total magnetization comes out at 1.0 μB/cell. For the density of states at the Fermi level, the calculation gives 3.348 states/eV/f.u. The energy is -16.1 eV per formula unit. The energy above the most stable polymorph in this dataset comes out at 0.376 eV/atom. The calculation puts the formation enthalpy at 0 K at 0.562 eV/atom.

***

No. 5
Compound: ZnCoCl2
Source: Alexandria via LeMat-Bulk
Functional: PBE
Structure: optimized geometry

Unit cell a=3.0584 b=3.0584 c=8.2774 alpha=90.00 beta=90.00 gamma=90.00
Space group P4mm (No. 99)
Unique sites:
Zn (0.0000, 0.0000, 0.0000) [1 per cell]
Co (0.5000, 0.5000, 0.7777) [1 per cell]
Cl (0.0000, 0.0000, 0.6301) [1 per cell]
Cl (0.5000, 0.5000, 0.1800) [1 per cell]

Values from the calculation:
The total magnetization comes out at 1.9 μB/cell. Its uncorrected formation energy is -89.5 meV per atom. For the density of states at the Fermi level, the calculation gives 1.915 states/eV/f.u. The energy is -12.4 eV per formula unit. The energy above the most stable polymorph in this dataset comes out at 0.251 eV/atom.

***

No. 6
Compound: Nb2Al2Ga
Source: Alexandria via LeMat-Bulk
Functional: PBE
Structure: optimized geometry

Unit cell a=6.7046 b=6.7046 c=3.7378 alpha=90.00 beta=90.00 gamma=90.00
Space group P4/mbm (No. 127)
Unique sites:
Nb (0.1725, 0.3275, 0.0000) [4 per cell]
Al (0.1293, 0.6293, 0.5000) [4 per cell]
Ga (0.0000, 0.0000, 0.5000) [2 per cell]

Values from the calculation:
The total magnetization comes out at 0.0 μB/cell. For the density of states at the Fermi level, the calculation gives 7.004 states/eV/f.u. The energy is -31.2 eV per formula unit. The energy above the most stable polymorph in this dataset comes out at 0.185 eV/atom. The calculation puts the formation enthalpy at 0 K at -0.107 eV/atom.

***

- Which of these has the lowest energy?
  CaY3Pd4

***

- The lowest energy belongs to which entry?
  CaY3Pd4